Pm2Er2Pb2C: optimized geometry, PBE-GGA. Values from VASP.

```
&SYSTEM
  ibrav = 0, nat = 7, ntyp = 4
/
ATOMIC_SPECIES
Pm 145.00 Pm.upf
Er 167.26 Er.upf
Pb 207.20 Pb.upf
C 12.01 C.upf
CELL_PARAMETERS angstrom
-2.4088 2.4088 8.2490
2.4088 -2.4088 8.2490
2.4088 2.4088 -8.2490
ATOMIC_POSITIONS crystal
Pm 0.1587 0.1587 0.0000
Pm 0.8413 0.8413 0.0000
Er 0.0000 0.5000 0.5000
Er 0.5000 0.0000 0.5000
Pb 0.3615 0.3615 0.0000
Pb 0.6385 0.6385 0.0000
C 0.0000 0.0000 0.0000
```

Properties
* crystal system: tetragonal
* N(E_F): 0.55 states/eV/f.u.
* volume: 27.35 Å³/atom
* formation energy from the elements: -603 meV/atom